## Li3Ti2Mn3O10 (PBE+U)

Data for a relaxed structure of Li3Ti2Mn3O10.

Structure (CIF):
```
data_Li3Ti2Mn3O10
_chemical_formula_sum 'Li3 Ti2 Mn3 O10'
_cell_length_a 5.095
_cell_length_b 5.245
_cell_length_c 7.772
_cell_angle_alpha 75.72
_cell_angle_beta 74.84
_cell_angle_gamma 80.60
_space_group_name_H-M_alt 'P -1'
_space_group_IT_number 2
_space_group_name_Hall '-P 1'
loop_
_atom_site_label
_atom_site_fract_x
_atom_site_fract_y
_atom_site_fract_z
_atom_site_occupancy
Li1 0.000 0.000 0.000 1
Li2 0.492 0.733 0.098 1
Ti1 0.030 0.380 0.183 1
Mn1 0.010 0.187 0.606 1
Mn2 0.500 0.500 0.500 1
O1 0.194 0.839 0.571 1
O2 0.210 0.621 0.974 1
O3 0.226 0.069 0.146 1
O4 0.236 0.497 0.346 1
O5 0.256 0.310 0.715 1
```

Results
Theoretical density   3.79 g cm⁻³
Energy   -7.38 eV/atom


## LiTi2Mn3O10 (PBE+U)

Data for a relaxed structure of LiTi2Mn3O10.

Structure (CIF):
```
data_LiTi2Mn3O10
_chemical_formula_sum 'Li1 Ti2 Mn3 O10'
_cell_length_a 5.028
_cell_length_b 5.115
_cell_length_c 7.964
_cell_angle_alpha 73.28
_cell_angle_beta 72.73
_cell_angle_gamma 82.45
_space_group_name_H-M_alt 'P 1'
_space_group_IT_number 1
_space_group_name_Hall 'P 1'
loop_
_atom_site_label
_atom_site_fract_x
_atom_site_fract_y
_atom_site_fract_z
_atom_site_occupancy
Li1 0.000 0.000 0.000 1
Ti1 0.375 0.413 0.110 1
Ti2 0.593 0.379 0.758 1
Mn1 0.181 0.393 0.535 1
Mn2 0.487 0.889 0.431 1
Mn3 0.792 0.382 0.335 1
O1 0.028 0.597 0.127 1
O2 0.129 0.182 0.379 1
O3 0.298 0.624 0.645 1
O4 0.357 0.176 0.972 1
O5 0.453 0.608 0.308 1
O6 0.521 0.165 0.557 1
O7 0.597 0.610 0.898 1
O8 0.686 0.153 0.214 1
O9 0.842 0.592 0.490 1
O10 0.942 0.200 0.750 1
```

Results
Theoretical density   3.79 g cm⁻³
Energy   -7.66 eV/atom


## Li2Ti2Mn5O12 (PBE+U)

Data for a relaxed structure of Li2Ti2Mn5O12.

Structure (CIF):
```
data_Li2Ti2Mn5O12
_chemical_formula_sum 'Li4 Ti4 Mn10 O24'
_cell_length_a 5.086
_cell_length_b 9.114
_cell_length_c 10.459
_cell_angle_alpha 90.00
_cell_angle_beta 102.38
_cell_angle_gamma 90.00
_space_group_name_H-M_alt 'P 1 21 1'
_space_group_IT_number 4
_space_group_name_Hall 'P 2yb'
loop_
_atom_site_label
_atom_site_fract_x
_atom_site_fract_y
_atom_site_fract_z
_atom_site_occupancy
Li1 0.006 0.000 0.228 1
Li2 0.244 0.657 0.000 1
Ti1 0.256 0.824 0.503 1
Ti2 0.260 0.330 0.010 1
Mn1 0.005 0.842 0.758 1
Mn2 0.254 0.157 0.494 1
Mn3 0.254 0.493 0.516 1
Mn4 0.257 0.005 0.005 1
Mn5 0.500 0.299 0.766 1
O1 0.101 0.484 0.103 1
O2 0.102 0.682 0.614 1
O3 0.115 0.991 0.591 1
O4 0.126 0.336 0.615 1
O5 0.128 0.853 0.108 1
O6 0.137 0.168 0.109 1
O7 0.364 0.169 0.906 1
O8 0.375 0.856 0.894 1
O9 0.375 0.964 0.385 1
O10 0.376 0.654 0.408 1
O11 0.377 0.475 0.890 1
O12 0.382 0.317 0.395 1
```

Results
Theoretical density   4.04 g cm⁻³
Energy   -7.57 eV/atom


## Li3TiMn3O8 (PBE+U)

Data for a relaxed structure of Li3TiMn3O8.

Structure (CIF):
```
data_Li3TiMn3O8
_chemical_formula_sum 'Li3 Ti1 Mn3 O8'
_cell_length_a 5.894
_cell_length_b 5.985
_cell_length_c 6.020
_cell_angle_alpha 118.37
_cell_angle_beta 118.24
_cell_angle_gamma 91.84
_space_group_name_H-M_alt 'P -1'
_space_group_IT_number 2
_space_group_name_Hall '-P 1'
loop_
_atom_site_label
_atom_site_fract_x
_atom_site_fract_y
_atom_site_fract_z
_atom_site_occupancy
Li1 0.000 0.000 0.000 1
Li2 0.000 0.500 0.500 1
Li3 0.500 0.000 0.000 1
Ti1 0.000 0.000 0.500 1
Mn1 0.000 0.500 0.000 1
Mn2 0.500 0.000 0.500 1
Mn3 0.500 0.500 0.000 1
O1 0.221 0.753 0.457 1
O2 0.244 0.206 0.480 1
O3 0.248 0.713 0.988 1
O4 0.251 0.226 0.947 1
```

Results
Theoretical density   3.87 g cm⁻³
Energy   -7.05 eV/atom


## Li3TiMn2O6 (PBE+U)

Data for a relaxed structure of Li3TiMn2O6.

Structure (CIF):
```
data_Li3TiMn2O6
_chemical_formula_sum 'Li12 Ti4 Mn8 O24'
_cell_length_a 16.335
_cell_length_b 2.954
_cell_length_c 11.915
_cell_angle_alpha 90.00
_cell_angle_beta 124.09
_cell_angle_gamma 90.00
_space_group_name_H-M_alt 'C 1 2/m 1'
_space_group_IT_number 12
_space_group_name_Hall '-C 2y'
loop_
_atom_site_label
_atom_site_fract_x
_atom_site_fract_y
_atom_site_fract_z
_atom_site_occupancy
Li1 0.000 0.000 0.000 1
Li2 0.000 0.000 0.500 1
Li3 0.157 0.500 0.000 1
Li4 0.158 0.500 0.499 1
Ti1 0.008 0.000 0.260 1
Mn1 0.168 0.500 0.247 1
Mn2 0.170 0.500 0.754 1
O1 0.003 0.500 0.370 1
O2 0.003 0.500 0.859 1
O3 0.147 0.000 0.365 1
O4 0.151 0.000 0.850 1
O5 0.166 0.000 0.637 1
O6 0.167 0.000 0.122 1
```

Results
N(E_F)   3.85 states/eV/cell
Theoretical density   3.83 g cm⁻³
Energy relative to the lowest polymorph listed for this composition   0.0 kJ per mole of atoms
Energy   -6.99 eV/atom


## Li3TiMn4O8 (PBE+U)

Data for a relaxed structure of Li3TiMn4O8.

Structure (CIF):
```
data_Li3TiMn4O8
_chemical_formula_sum 'Li6 Ti2 Mn8 O16'
_cell_length_a 6.072
_cell_length_b 6.114
_cell_length_c 10.539
_cell_angle_alpha 90.40
_cell_angle_beta 106.31
_cell_angle_gamma 119.71
_space_group_name_H-M_alt 'P -1'
_space_group_IT_number 2
_space_group_name_Hall '-P 1'
loop_
_atom_site_label
_atom_site_fract_x
_atom_site_fract_y
_atom_site_fract_z
_atom_site_occupancy
Li1 0.000 0.000 0.000 1
Li2 0.000 0.500 0.500 1
Li3 0.010 0.264 0.755 1
Li4 0.497 0.742 0.751 1
Ti1 0.497 0.760 0.251 1
Mn1 0.000 0.000 0.500 1
Mn2 0.000 0.500 0.000 1
Mn3 0.002 0.248 0.248 1
Mn4 0.500 0.000 0.000 1
Mn5 0.500 0.000 0.500 1
Mn6 0.500 0.500 0.000 1
Mn7 0.500 0.500 0.500 1
O1 0.255 0.632 0.361 1
O2 0.262 0.900 0.635 1
O3 0.264 0.147 0.868 1
O4 0.266 0.154 0.387 1
O5 0.268 0.620 0.884 1
O6 0.273 0.867 0.139 1
O7 0.276 0.370 0.620 1
O8 0.276 0.398 0.127 1
```

Results
N(E_F)   0.06 states/eV/cell
Theoretical density   4.31 g cm⁻³
Energy relative to the lowest polymorph listed for this composition   10.5 kJ per mole of atoms
Energy   -7.08 eV/atom


## Li4TiMn3O8 (PBE+U)

Data for a relaxed structure of Li4TiMn3O8.

Structure (CIF):
```
data_Li4TiMn3O8
_chemical_formula_sum 'Li12 Ti3 Mn9 O24'
_cell_length_a 5.949
_cell_length_b 6.052
_cell_length_c 14.754
_cell_angle_alpha 87.46
_cell_angle_beta 88.53
_cell_angle_gamma 60.87
_space_group_name_H-M_alt 'P 1'
_space_group_IT_number 1
_space_group_name_Hall 'P 1'
loop_
_atom_site_label
_atom_site_fract_x
_atom_site_fract_y
_atom_site_fract_z
_atom_site_occupancy
Li1 0.000 0.000 0.000 1
Li2 0.001 0.499 0.001 1
Li3 0.154 0.673 0.167 1
Li4 0.162 0.173 0.163 1
Li5 0.335 0.834 0.337 1
Li6 0.338 0.322 0.337 1
Li7 0.513 0.982 0.500 1
Li8 0.515 0.477 0.502 1
Li9 0.680 0.658 0.668 1
Li10 0.682 0.148 0.667 1
Li11 0.836 0.833 0.837 1
Li12 0.844 0.330 0.837 1
Ti1 0.020 0.978 0.504 1
Ti2 0.347 0.330 0.828 1
Ti3 0.644 0.678 0.169 1
Mn1 0.010 0.488 0.503 1
Mn2 0.178 0.152 0.667 1
Mn3 0.180 0.650 0.669 1
Mn4 0.352 0.821 0.832 1
Mn5 0.500 0.002 0.999 1
Mn6 0.500 0.499 0.000 1
Mn7 0.649 0.177 0.168 1
Mn8 0.833 0.834 0.335 1
Mn9 0.839 0.329 0.335 1
O1 0.040 0.447 0.748 1
O2 0.053 0.970 0.749 1
O3 0.173 0.661 0.433 1
O4 0.174 0.133 0.421 1
O5 0.189 0.642 0.900 1
O6 0.193 0.167 0.921 1
O7 0.307 0.334 0.586 1
O8 0.321 0.851 0.587 1
O9 0.347 0.333 0.090 1
O10 0.348 0.843 0.084 1
O11 0.488 0.538 0.249 1
O12 0.495 0.003 0.241 1
O13 0.505 0.997 0.760 1
O14 0.513 0.464 0.749 1
O15 0.651 0.160 0.915 1
O16 0.653 0.667 0.910 1
O17 0.703 0.119 0.419 1
O18 0.711 0.653 0.420 1
O19 0.805 0.835 0.078 1
O20 0.810 0.359 0.100 1
O21 0.851 0.310 0.571 1
O22 0.855 0.837 0.587 1
O23 0.953 0.013 0.248 1
O24 0.957 0.554 0.250 1
```

Results
N(E_F)   0.45 states/eV/cell
Theoretical density   3.96 g cm⁻³
Energy   -6.86 eV/atom


## Li2TiMnO4 (PBE+U)

Data for a relaxed structure of Li2TiMnO4.

Structure (CIF):
```
data_Li2TiMnO4
_chemical_formula_sum 'Li4 Ti2 Mn2 O8'
_cell_length_a 4.094
_cell_length_b 4.094
_cell_length_c 9.436
_cell_angle_alpha 90.00
_cell_angle_beta 90.00
_cell_angle_gamma 90.00
_space_group_name_H-M_alt 'I -4 m 2'
_space_group_IT_number 119
_space_group_name_Hall 'I -4 -2'
loop_
_atom_site_label
_atom_site_fract_x
_atom_site_fract_y
_atom_site_fract_z
_atom_site_occupancy
Li1 0.000 0.000 0.000 1
Li2 0.000 0.500 0.250 1
Ti1 0.000 0.500 0.750 1
Mn1 0.000 0.000 0.500 1
O1 0.000 0.000 0.253 1
O2 0.000 0.500 0.543 1
```

Results
N(E_F)   1.49 states/eV/cell
Theoretical density   3.79 g cm⁻³
Energy relative to the lowest polymorph listed for this composition   0.0 kJ per mole of atoms
Energy   -7.20 eV/atom


## Li5Ti2Mn5O12 (PBE+U)

Data for a relaxed structure of Li5Ti2Mn5O12.

Structure (CIF):
```
data_Li5Ti2Mn5O12
_chemical_formula_sum 'Li10 Ti4 Mn10 O24'
_cell_length_a 5.289
_cell_length_b 9.179
_cell_length_c 10.087
_cell_angle_alpha 90.00
_cell_angle_beta 100.27
_cell_angle_gamma 90.00
_space_group_name_H-M_alt 'C 1 2 1'
_space_group_IT_number 5
_space_group_name_Hall 'C 2y'
loop_
_atom_site_label
_atom_site_fract_x
_atom_site_fract_y
_atom_site_fract_z
_atom_site_occupancy
Li1 0.000 0.000 0.000 1
Li2 0.242 0.001 0.757 1
Li3 0.250 0.319 0.754 1
Ti1 0.000 0.157 0.500 1
Ti2 0.000 0.674 0.000 1
Mn1 0.000 0.339 0.000 1
Mn2 0.000 0.487 0.500 1
Mn3 0.000 0.825 0.500 1
Mn4 0.246 0.154 0.243 1
O1 0.103 0.503 0.885 1
O2 0.109 0.813 0.879 1
O3 0.112 0.002 0.379 1
O4 0.112 0.307 0.381 1
O5 0.141 0.173 0.890 1
O6 0.151 0.655 0.383 1
```

Results
N(E_F)   0.71 states/eV/cell
Theoretical density   4.12 g cm⁻³
Energy   -7.22 eV/atom


## Li3TiMn4O8 (PBE+U)

Data for a relaxed structure of Li3TiMn4O8.

Structure (CIF):
```
data_Li3TiMn4O8
_chemical_formula_sum 'Li3 Ti1 Mn4 O8'
_cell_length_a 6.120
_cell_length_b 6.131
_cell_length_c 6.152
_cell_angle_alpha 60.23
_cell_angle_beta 60.22
_cell_angle_gamma 60.82
_space_group_name_H-M_alt 'P -1'
_space_group_IT_number 2
_space_group_name_Hall '-P 1'
loop_
_atom_site_label
_atom_site_fract_x
_atom_site_fract_y
_atom_site_fract_z
_atom_site_occupancy
Li1 0.000 0.000 0.000 1
Li2 0.000 0.500 0.500 1
Li3 0.500 0.000 0.500 1
Ti1 0.000 0.500 0.000 1
Mn1 0.000 0.000 0.500 1
Mn2 0.500 0.000 0.000 1
Mn3 0.500 0.500 0.000 1
Mn4 0.500 0.500 0.500 1
O1 0.224 0.744 0.777 1
O2 0.230 0.270 0.234 1
O3 0.241 0.283 0.757 1
O4 0.270 0.732 0.269 1
```

Results
N(E_F)   3.35 states/eV/cell
Theoretical density   4.20 g cm⁻³
Energy relative to the lowest polymorph listed for this composition   0.0 kJ per mole of atoms
Energy   -7.19 eV/atom


## Li2TiMnO4 (PBE+U)

Data for a relaxed structure of Li2TiMnO4.

Structure (CIF):
```
data_Li2TiMnO4
_chemical_formula_sum 'Li2 Ti1 Mn1 O4'
_cell_length_a 5.224
_cell_length_b 3.014
_cell_length_c 5.363
_cell_angle_alpha 90.00
_cell_angle_beta 110.96
_cell_angle_gamma 90.00
_space_group_name_H-M_alt 'P 1 2/m 1'
_space_group_IT_number 10
_space_group_name_Hall '-P 2y'
loop_
_atom_site_label
_atom_site_fract_x
_atom_site_fract_y
_atom_site_fract_z
_atom_site_occupancy
Li1 0.000 0.000 0.000 1
Li2 0.000 0.500 0.500 1
Ti1 0.500 0.000 0.500 1
Mn1 0.500 0.500 0.000 1
O1 0.267 0.500 0.276 1
O2 0.276 0.000 0.724 1
```

Results
Theoretical density   3.80 g cm⁻³
Energy relative to the lowest polymorph listed for this composition   0.7 kJ per mole of atoms
Energy   -7.19 eV/atom


## Li2TiMn3O8 (PBE+U)

Data for a relaxed structure of Li2TiMn3O8.

Structure (CIF):
```
data_Li2TiMn3O8
_chemical_formula_sum 'Li6 Ti3 Mn9 O24'
_cell_length_a 6.0121
_cell_length_b 6.0121
_cell_length_c 14.4478
_cell_angle_alpha 90.00
_cell_angle_beta 90.00
_cell_angle_gamma 120.00
_space_group_name_H-M_alt 'R -3 m'
_space_group_IT_number 166
_space_group_name_Hall '-R 3 2"'
loop_
_atom_site_label
_atom_site_fract_x
_atom_site_fract_y
_atom_site_fract_z
_atom_site_occupancy
Li1 0.0000 0.0000 0.1236 1
Ti1 0.0000 0.0000 0.5000 1
Mn1 0.0000 0.5000 0.0000 1
O1 0.0000 0.0000 0.2588 1
O2 0.0386 0.5193 0.2545 1
```

Results
N(E_F)   13.42 states/eV/cell
Theoretical density   3.91 g cm⁻³
Energy relative to the lowest polymorph listed for this composition   2.4 kJ per mole of atoms
Energy   -7.23 eV/atom


## LiTiMn2O4 (PBE+U)

Data for a relaxed structure of LiTiMn2O4.

Structure (CIF):
```
data_LiTiMn2O4
_chemical_formula_sum 'Li2 Ti2 Mn4 O8'
_cell_length_a 4.364
_cell_length_b 4.364
_cell_length_c 8.684
_cell_angle_alpha 90.00
_cell_angle_beta 90.00
_cell_angle_gamma 90.00
_space_group_name_H-M_alt 'I -4 m 2'
_space_group_IT_number 119
_space_group_name_Hall 'I -4 -2'
loop_
_atom_site_label
_atom_site_fract_x
_atom_site_fract_y
_atom_site_fract_z
_atom_site_occupancy
Li1 0.000 0.000 0.000 1
Ti1 0.000 0.500 0.750 1
Mn1 0.000 0.000 0.500 1
Mn2 0.000 0.500 0.250 1
O1 0.000 0.000 0.246 1
O2 0.000 0.500 0.521 1
```

Results
N(E_F)   4.92 states/eV/cell
Theoretical density   4.59 g cm⁻³
Energy   -7.61 eV/atom


## Li2TiMn2O5 (PBE+U)

Data for a relaxed structure of Li2TiMn2O5.

Structure (CIF):
```
data_Li2TiMn2O5
_chemical_formula_sum 'Li8 Ti4 Mn8 O20'
_cell_length_a 5.314
_cell_length_b 15.227
_cell_length_c 5.332
_cell_angle_alpha 90.00
_cell_angle_beta 110.43
_cell_angle_gamma 90.00
_space_group_name_H-M_alt 'C 1 2 1'
_space_group_IT_number 5
_space_group_name_Hall 'C 2y'
loop_
_atom_site_label
_atom_site_fract_x
_atom_site_fract_y
_atom_site_fract_z
_atom_site_occupancy
Li1 0.000 0.000 0.000 1
Li2 0.000 0.097 0.500 1
Li3 0.000 0.284 0.500 1
Li4 0.000 0.595 0.000 1
Ti1 0.000 0.182 0.000 1
Ti2 0.000 0.490 0.500 1
Mn1 0.000 0.397 0.000 1
Mn2 0.000 0.693 0.500 1
Mn3 0.000 0.793 0.000 1
Mn4 0.000 0.898 0.500 1
O1 0.219 0.499 0.280 1
O2 0.222 0.196 0.776 1
O3 0.239 0.098 0.240 1
O4 0.242 0.407 0.739 1
O5 0.244 0.291 0.241 1
```

Results
Theoretical density   4.13 g cm⁻³
Energy relative to the lowest polymorph listed for this composition   0.0 kJ per mole of atoms
Energy   -7.31 eV/atom